Record 1
A relaxed structure of Rb2ZnOsRh, computed with PBE-GGA.

a = 6.407 Å, b = 4.846 Å, c = 6.407 Å
α = 90.00°, β = 90.00°, γ = 90.00°
Site moments in Bohr magnetons follow the coordinates.
Atoms (fractional coordinates):
Rh  0.500  0.500  0.500  1.41
Zn  0.000  0.500  0.000  -0.01
Os  0.000  0.000  0.000  1.73
Rb  0.000  0.000  0.500  0.01
Rb  0.500  0.000  0.000  0.02

Properties
Energy of formation, eV per atom: 1.6569
Total magnetization, μB per formula unit: 3.63
Total DFT energy (no corrections), eV per formula unit: -13.506

Record 2
A relaxed structure of DyHoO3, computed with PBE-GGA.

a = 6.413 Å, b = 6.413 Å, c = 12.717 Å
α = 90.00°, β = 90.00°, γ = 120.00°
Atoms (fractional coordinates):
Dy  0.333  0.667  0.231
Dy  0.000  0.000  0.265
Dy  0.000  0.000  0.765
Dy  0.333  0.667  0.731
Dy  0.667  0.333  0.731
Dy  0.667  0.333  0.231
Ho  0.000  0.667  0.496
Ho  0.000  0.333  0.996
Ho  0.333  0.333  0.496
Ho  0.667  0.667  0.996
Ho  0.333  0.000  0.996
Ho  0.667  0.000  0.496
O  0.000  0.696  0.670
O  0.000  0.634  0.324
O  0.000  0.366  0.824
O  0.000  0.304  0.170
O  0.333  0.667  0.025
O  0.000  0.000  0.461
O  0.333  0.667  0.525
O  0.000  0.000  0.961
O  0.304  0.304  0.670
O  0.366  0.366  0.324
O  0.304  0.000  0.170
O  0.634  0.634  0.824
O  0.696  0.696  0.170
O  0.366  0.000  0.824
O  0.667  0.333  0.525
O  0.667  0.333  0.025
O  0.634  0.000  0.324
O  0.696  0.000  0.670

Properties
Formation energy (no corrections), eV per atom: -3.515
Total magnetization, μB per formula unit: 0.00
Total DFT energy (no corrections), eV per formula unit: -41.629

Record 3
A relaxed structure of MgBeBRh2, computed with PBE-GGA.

a = 4.105 Å, b = 4.105 Å, c = 3.734 Å
α = 90.00°, β = 90.00°, γ = 90.00°
Atoms (fractional coordinates):
Be  0.000  0.000  0.500
Mg  0.500  0.500  0.500
B  0.000  0.000  0.000
Rh  0.000  0.500  0.000
Rh  0.500  0.000  0.000

Properties
Energy of formation, eV per atom: -0.3856
Total magnetization, μB per formula unit: 0.00
Total DFT energy (no corrections), eV per formula unit: -28.629

Record 4
A relaxed structure of Tb3Pr2ErBi6, computed with PBE-GGA.

a = 4.538 Å, b = 9.070 Å, c = 10.139 Å
α = 102.90°, β = 102.93°, γ = 90.00°
Atoms (fractional coordinates):
Tb  0.500  0.500  0.000
Tb  0.831  0.166  0.663
Tb  0.169  0.834  0.337
Pr  0.834  0.668  0.669
Pr  0.166  0.332  0.331
Er  0.500  0.000  0.000
Bi  0.335  0.924  0.670
Bi  0.665  0.589  0.329
Bi  0.665  0.076  0.330
Bi  0.997  0.246  0.993
Bi  0.003  0.754  0.007
Bi  0.335  0.411  0.671

Properties
Energy of formation, eV per atom: -0.8892
Total magnetization, μB per formula unit: 0.00
Total DFT energy (no corrections), eV per formula unit: -61.969

Record 5
A relaxed structure of BaTbEr, computed with PBE-GGA.

a = 3.768 Å, b = 3.768 Å, c = 8.580 Å
α = 102.69°, β = 102.69°, γ = 90.00°
Atoms (fractional coordinates):
Tb  0.318  0.318  0.635
Ba  0.000  0.000  0.000
Er  0.682  0.682  0.364

Properties
Energy of formation, eV per atom: 0.1965
Total magnetization, μB per formula unit: 0.00
Total DFT energy (no corrections), eV per formula unit: -10.526

Record 6
A relaxed structure of MnBe6Rh5, computed with PBE-GGA.

a = 3.929 Å, b = 5.616 Å, c = 6.803 Å
α = 114.38°, β = 106.79°, γ = 90.00°
Site moments in Bohr magnetons follow the coordinates.
Atoms (fractional coordinates):
Be  0.175  0.440  0.350  -0.01
Be  0.175  0.910  0.350  -0.01
Be  0.500  0.279  0.000  -0.01
Be  0.500  0.721  0.000  -0.01
Be  0.825  0.090  0.650  -0.01
Be  0.825  0.560  0.650  -0.01
Mn  0.000  0.000  0.000  3.40
Rh  0.348  0.848  0.696  0.19
Rh  0.670  0.670  0.340  0.08
Rh  0.000  0.500  0.000  0.10
Rh  0.330  0.330  0.660  0.08
Rh  0.652  0.152  0.304  0.19

Properties
Energy of formation, eV per atom: -0.5864
Total magnetization, μB per formula unit: 4.20
Total DFT energy (no corrections), eV per formula unit: -75.320

Record 7
A relaxed structure of Ac2Nd5SmTm, computed with PBE-GGA.

a = 5.840 Å, b = 10.823 Å, c = 10.920 Å
α = 90.00°, β = 90.00°, γ = 105.65°
Atoms (fractional coordinates):
Ac  0.883  0.766  0.814
Ac  0.114  0.227  0.733
Ac  0.117  0.234  0.314
Ac  0.886  0.773  0.233
Nd  0.383  0.767  0.019
Nd  0.719  0.438  0.813
Nd  0.485  0.970  0.744
Nd  0.293  0.585  0.702
Nd  0.982  0.964  0.519
Nd  0.617  0.233  0.519
Nd  0.281  0.562  0.313
Nd  0.515  0.030  0.244
Nd  0.707  0.415  0.202
Nd  0.018  0.036  0.019
Sm  0.593  0.187  0.970
Sm  0.407  0.813  0.470
Tm  0.795  0.590  0.509
Tm  0.205  0.410  0.009

Properties
Energy of formation, eV per atom: 0.1338
Total magnetization, μB per formula unit: 0.00
Total DFT energy (no corrections), eV per formula unit: -40.042

Record 8
A relaxed structure of BaCuAsS4, computed with PBE-GGA.

a = 6.915 Å, b = 6.915 Å, c = 6.366 Å
α = 122.90°, β = 122.90°, γ = 90.00°
Atoms (fractional coordinates):
Ba  0.000  0.000  0.000
Cu  0.500  0.500  0.000
As  0.250  0.750  0.500
S  0.217  0.119  0.734
S  0.384  0.783  0.266
S  0.517  0.616  0.734
S  0.881  0.483  0.266

Properties
Formation energy (no corrections), eV per atom: -0.693
Total magnetization, μB per formula unit: 0.00
Total DFT energy (no corrections), eV per formula unit: -32.030